1.
Density functional theory data (PBE) for an optimized crystal structure of HfZr5Zn4.

Fermi-level density of states	6.61	states/eV per cell
uncorrected energy	-59.92	eV per cell
formation energy	-0.213	eV per atom

POSCAR file:
```
HfZr5Zn4
1.0
3.318 0.000 0.000
0.000 3.318 0.000
0.000 0.000 17.778
Zr Zn Hf
5 4 1
direct
0.500 0.500 0.883
0.500 0.500 0.117
0.500 0.500 0.500
0.500 0.500 0.310
0.500 0.500 0.690
0.000 0.000 0.786
0.000 0.000 0.405
0.000 0.000 0.595
0.000 0.000 0.214
0.000 0.000 0.000
```

---

2.
Density functional theory data (PBE) for an optimized crystal structure of CaGd3Ru.

Fermi-level density of states	4.76	states/eV per cell
uncorrected energy	-54.25	eV per cell
formation energy	-0.147	eV per atom

POSCAR file:
```
CaGd3Ru
1.0
5.475 0.000 0.000
0.000 5.475 0.000
0.000 0.000 5.475
Ru Ca Gd
1 1 3
direct
0.000 0.000 0.000
0.500 0.500 0.500
0.000 0.000 0.500
0.500 0.000 0.000
0.000 0.500 0.000
```

---

3.
Density functional theory data (PBE) for an optimized crystal structure of Pm5TlIn6.

Fermi-level density of states	8.25	states/eV per cell
uncorrected energy	-47.79	eV per cell
formation energy	-0.437	eV per atom

POSCAR file:
```
Pm5TlIn6
1.0
4.709 0.002 -1.448
-1.002 8.509 -3.243
0.189 -1.481 8.992
Pm Tl In
5 1 6
direct
0.646 0.146 0.292
0.000 0.500 0.000
0.354 0.854 0.708
0.328 0.328 0.657
0.672 0.672 0.343
0.000 0.000 0.000
0.172 0.916 0.344
0.500 0.735 0.000
0.828 0.571 0.656
0.172 0.429 0.344
0.828 0.084 0.656
0.500 0.265 0.000
```

---

4.
Density functional theory data (PBE) for an optimized crystal structure of CaErPt.

Fermi-level density of states	4.83	states/eV per cell
uncorrected energy	-29.81	eV per cell
relative energy among the computed polymorphs	0.106	eV per atom
formation energy	-0.767	eV per atom

POSCAR file:
```
CaErPt
1.0
-2.205 -1.318 -2.702
5.367 0.096 -4.429
2.860 -6.144 0.644
Er Ca Pt
2 2 2
direct
0.624 0.001 0.609
0.624 0.521 0.537
0.622 0.390 0.047
0.124 0.884 0.107
0.123 0.690 0.758
0.124 0.242 0.759
```

---

Question: The lowest uncorrected energy belongs to which entry?
Answer: HfZr5Zn4